Entry 1:
Entry from Alexandria: an optimized crystal structure of BeFeRu4 (PBE).

Geometry as POSCAR:
```
BeFeRu4
1.0
0.000 3.544 3.544
3.544 0.000 3.544
3.544 3.544 0.000
Be Fe Ru
1 1 4
Cartesian
0.000 0.000 0.000 Be
5.316 5.316 5.316 Fe
2.656 2.656 2.656 Ru
4.431 4.431 2.656 Ru
4.431 2.656 4.431 Ru
2.656 4.431 4.431 Ru
```

Total energy (eV per formula unit): -45.15
Energy of formation (meV/atom): 691
Symmetry: F-43m (216)

=====

Entry 2:
Entry from Alexandria: an optimized crystal structure of Pm4BBr2Cl (PBE).

Geometry as POSCAR:
```
Pm4BBr2Cl
1.0
7.110 0.000 0.000
0.000 4.007 0.000
-2.313 0.000 7.194
Pm B Br Cl
4 1 2 1
Cartesian
1.012 0.000 1.402 Pm
-0.205 2.003 5.729 Pm
5.002 2.003 1.465 Pm
3.784 0.000 5.792 Pm
0.000 2.003 0.000 B
-1.156 0.000 3.597 Br
2.398 2.003 3.597 Br
3.555 0.000 0.000 Cl
```

Total energy (eV per formula unit): -39.29
E_form (uncorrected) (eV/atom): -1.05
Symmetry: P2/m (10)

=====

Entry 3:
Entry from Alexandria: an optimized crystal structure of Li3Np3TeS8 (PBE).

Geometry as POSCAR:
```
Li3Np3TeS8
1.0
3.948 2.279 6.128
-3.948 2.279 6.128
0.000 -4.558 6.128
Li Np Te S
3 3 1 8
Cartesian
-1.974 -1.140 6.128 Li
-1.974 1.140 12.257 Li
0.000 2.279 6.128 Li
-3.948 0.000 9.192 Np
-1.974 1.140 3.064 Np
1.974 1.140 3.064 Np
0.000 0.000 9.192 Te
0.000 0.000 4.590 S
0.000 -2.222 7.672 S
-1.925 1.111 7.672 S
-1.925 -1.111 10.712 S
1.925 1.111 7.672 S
1.925 -1.111 10.712 S
0.000 2.222 10.712 S
0.000 0.000 13.795 S
```

Total energy (eV per formula unit): -96.65
E_form (uncorrected) (eV/atom): -1.06
Symmetry: R-3m (166)

=====

Entry 4:
Entry from Alexandria: an optimized crystal structure of YCr2Si (PBE).

Geometry as POSCAR:
```
YCr2Si
1.0
3.121 0.000 0.000
0.000 4.405 0.000
-0.494 0.000 5.024
Y Cr Si
1 2 1
Cartesian
0.000 0.000 0.000 Y
0.648 2.202 3.312 Cr
1.979 2.202 1.712 Cr
1.313 0.000 2.512 Si
```

Total energy (eV per formula unit): -30.33
E_form (uncorrected) (eV/atom): 0.20
Symmetry: P2/m (10)

=====

Entry 5:
Entry from Alexandria: an optimized crystal structure of CeZn2Cu4Si (PBE).

Geometry as POSCAR:
```
CeZn2Cu4Si
1.0
2.069 1.195 8.604
-2.069 1.195 8.604
0.000 -2.390 8.604
Ce Zn Cu Si
1 2 4 1
Cartesian
0.000 0.000 0.000 Ce
0.000 0.000 6.337 Zn
0.000 0.000 19.477 Zn
0.000 0.000 3.495 Cu
0.000 0.000 10.519 Cu
0.000 0.000 15.294 Cu
0.000 0.000 22.318 Cu
0.000 0.000 12.907 Si
```

Total energy (eV per formula unit): -30.98
E_form (uncorrected) (eV/atom): -0.09
Symmetry: R-3m (166)

=====

Entry 6:
Entry from Alexandria: an optimized crystal structure of Rb2TeIr3O12 (PBE).

Geometry as POSCAR:
```
Rb2TeIr3O12
1.0
3.605 2.081 5.949
-3.605 2.081 5.949
0.000 -4.162 5.949
Rb Te Ir O
2 1 3 12
Cartesian
0.000 0.000 2.184 Rb
0.000 0.000 15.663 Rb
0.000 0.000 8.923 Te
-1.802 -1.041 5.949 Ir
-1.802 1.041 11.898 Ir
0.000 2.081 5.949 Ir
-1.471 -0.849 7.915 O
0.000 -1.630 5.631 O
-1.412 0.815 5.631 O
0.000 -1.698 9.932 O
-1.471 0.849 9.932 O
-1.412 -0.815 12.216 O
1.412 0.815 5.631 O
1.471 -0.849 7.915 O
0.000 1.698 7.915 O
1.412 -0.815 12.216 O
0.000 1.630 12.216 O
1.471 0.849 9.932 O
```

Total energy (eV per formula unit): -108.57
E_form (uncorrected) (eV/atom): -0.97
Symmetry: R-3m (166)

=====

Entry 7:
Entry from Alexandria: an optimized crystal structure of GaH3Au (PBE).

Geometry as POSCAR:
```
GaH3Au
1.0
3.812 0.000 0.000
0.000 3.812 0.000
0.000 0.000 3.812
Ga H Au
1 3 1
Cartesian
0.000 0.000 0.000 Ga
0.000 1.906 1.906 H
1.906 0.000 1.906 H
1.906 1.906 0.000 H
1.906 1.906 1.906 Au
```

Energy above the most stable polymorph in this dataset (meV/atom): 0
Total energy (eV per formula unit): -14.79
Symmetry: Pm-3m (221)

=====

Entry 8:
Entry from Alexandria: an optimized crystal structure of LaIBr3 (PBE).

Geometry as POSCAR:
```
LaIBr3
1.0
5.896 0.000 0.000
0.000 5.896 0.000
0.000 0.000 5.896
La I Br
1 1 3
Cartesian
0.000 0.000 0.000 La
2.948 2.948 2.948 I
0.000 0.000 2.948 Br
0.000 2.948 0.000 Br
2.948 0.000 0.000 Br
```

Total energy (eV per formula unit): -17.93
E_form (uncorrected) (eV/atom): -1.29
Symmetry: Pm-3m (221)

=====

Entry 9:
Entry from Alexandria: an optimized crystal structure of Tl2CdBr (PBE).

Geometry as POSCAR:
```
Tl2CdBr
1.0
4.665 0.000 0.000
0.000 4.665 0.000
0.000 0.000 11.642
Tl Cd Br
4 2 2
Cartesian
0.000 0.000 0.000 Tl
0.000 2.332 2.911 Tl
2.332 0.000 8.732 Tl
2.332 2.332 5.821 Tl
0.000 0.000 5.821 Cd
2.332 2.332 0.000 Cd
0.000 2.332 8.732 Br
2.332 0.000 2.911 Br
```

Energy above the most stable polymorph in this dataset (meV/atom): 42
Total energy (eV per formula unit): -8.33
E_form (uncorrected) (eV/atom): -0.25
Symmetry: I-4m2 (119)

=====

Entry 10:
Entry from Alexandria: an optimized crystal structure of Ta2FeSbCl (PBE).

Geometry as POSCAR:
```
Ta2FeSbCl
1.0
4.435 0.000 0.000
0.000 4.435 0.000
0.000 0.000 5.227
Ta Fe Sb Cl
2 1 1 1
Cartesian
0.000 2.217 0.000 Ta
2.217 0.000 0.000 Ta
0.000 0.000 2.613 Fe
2.217 2.217 2.613 Sb
2.217 2.217 0.000 Cl
```

Total energy (eV per formula unit): -30.24
E_form (uncorrected) (eV/atom): 1.58
Symmetry: P4/mmm (123)

=====

Entry 11:
Entry from Alexandria: an optimized crystal structure of BaScAu3 (PBE).

Geometry as POSCAR:
```
BaScAu3
1.0
5.276 0.000 0.000
0.000 5.276 0.000
0.000 0.000 5.276
Ba Sc Au
1 1 3
Cartesian
0.000 0.000 0.000 Ba
2.638 2.638 2.638 Sc
0.000 2.638 2.638 Au
2.638 0.000 2.638 Au
2.638 2.638 0.000 Au
```

Energy above the most stable polymorph in this dataset (meV/atom): 0
Total energy (eV per formula unit): -20.31
Energy of formation (meV/atom): -445
Symmetry: Pm-3m (221)

=====

Entry 12:
Entry from Alexandria: an optimized crystal structure of AsRuPt2 (PBE).

Geometry as POSCAR:
```
AsRuPt2
1.0
3.878 0.000 0.000
0.000 3.878 0.000
0.000 0.000 8.330
As Ru Pt
2 2 4
Cartesian
0.000 0.000 0.000 As
1.939 1.939 4.165 As
0.000 0.000 4.165 Ru
1.939 1.939 0.000 Ru
0.000 1.939 2.082 Pt
0.000 1.939 6.247 Pt
1.939 0.000 2.082 Pt
1.939 0.000 6.247 Pt
```

Total energy (eV per formula unit): -25.32
Energy of formation (meV/atom): 172
Symmetry: I4/mmm (139)

=====

Number 1: DOS(E_F) 8.77 states/eV per cell, total moment 4.2 μB per formula unit. Number 2: DOS(E_F) 3.29 states/eV per cell, total moment 0.0 μB per formula unit. Number 3: DOS(E_F) 29.45 states/eV per cell, total moment 12.0 μB per formula unit. Number 4: DOS(E_F) 3.81 states/eV per cell, total moment 0.0 μB per formula unit. Number 5: DOS(E_F) 7.20 states/eV per cell, total moment 0.8 μB per formula unit. Number 6: DOS(E_F) 12.07 states/eV per cell, total moment 1.6 μB per formula unit. Number 7: DOS(E_F) 0.63 states/eV per cell, total moment 0.0 μB per formula unit. Number 8: DOS(E_F) 13.85 states/eV per cell, total moment 1.0 μB per formula unit. Number 9: DOS(E_F) 3.18 states/eV per cell, total moment 0.0 μB per formula unit. Number 10: DOS(E_F) 6.62 states/eV per cell, total moment 0.1 μB per formula unit. Number 11: DOS(E_F) 3.61 states/eV per cell, total moment 0.0 μB per formula unit. Number 12: DOS(E_F) 8.74 states/eV per cell, total moment 1.5 μB per formula unit.